[1]
DFT (PBE-GGA) results for an optimized crystal structure of Ce2PrIn2.

Lattice parameters (Å, degrees): 9.316 9.316 3.376 90.00 90.00 90.00
Space group P4/mbm (No. 127)
Unique sites:
Ce 0.102 0.398 0.000 (multiplicity 4)
Pr 0.000 0.000 0.000 (multiplicity 2)
In 0.190 0.690 0.500 (multiplicity 4)

Properties
**Crystal system**: tetragonal
**Offset from the most stable computed form**: 0.099 eV/f.u.
**Energy relative to the elements**: -1.3 eV per formula unit

=====

[2]
DFT (PBE-GGA) results for an optimized crystal structure of NdSm2Dy2Y6.

Lattice parameters (Å, degrees): 5.718 12.057 10.645 90.00 90.11 90.00
Space group C2/m (No. 12)
Unique sites:
Nd 0.000 0.000 0.000 (multiplicity 2)
Sm 0.000 0.365 0.500 (multiplicity 4)
Dy 0.000 0.296 0.000 (multiplicity 4)
Y 0.001 0.153 0.708 (multiplicity 8)
Y 0.001 0.500 0.790 (multiplicity 4)

Properties
**Crystal system**: monoclinic
**Energy relative to the elements**: 1.7 eV per formula unit

=====

[3]
DFT (PBE-GGA) results for an optimized crystal structure of AcCrS.

Lattice parameters (Å, degrees): 7.528 12.010 9.064 90.00 90.00 90.00
Space group Ima2 (No. 46)
Unique sites:
Ac 0.250 0.001 0.000 (multiplicity 4)
Ac 0.250 0.193 0.620 (multiplicity 4)
Ac 0.250 0.706 0.125 (multiplicity 4)
Cr 0.000 0.000 0.481 (multiplicity 4)
Cr 0.089 0.110 0.315 (multiplicity 8)
S 0.008 0.198 0.888 (multiplicity 8)
S 0.250 0.562 0.834 (multiplicity 4)

Properties
**Crystal system**: orthorhombic
**Energy relative to the elements, uncorrected**: -0.5420 eV/atom

=====

[4]
DFT (PBE-GGA) results for an optimized crystal structure of GeMoRh.

Lattice parameters (Å, degrees): 2.952 2.952 10.179 90.00 90.00 90.00
Space group I4mm (No. 107)
Unique sites:
Ge 0.000 0.000 0.000 (multiplicity 2)
Mo 0.000 0.000 0.333 (multiplicity 2)
Rh 0.000 0.000 0.652 (multiplicity 2)

Properties
**Crystal system**: tetragonal
**Offset from the most stable computed form**: 0.000 eV/f.u.
**Energy relative to the elements**: -0.4 eV per formula unit

=====

no.,D(E_F) (states/eV per cell),electronic total energy (eV/atom)
1,20.88,-4.678
2,34.30,-5.502
3,24.35,-6.495
4,8.17,-7.728